Material: Y2UF11
Method: DFT, GGA-PBE
State: relaxed

Cell: 8.0981 8.6065 8.6065 Å, 73.87 61.94 61.94°
Closest atoms and distances in Å follow each position.
Positions (direct):
Y  0.6344  0.6824  0.3176  7 F 2.15-2.36
Y  0.3656  0.3176  0.6824  7 F 2.15-2.36
Y  0.8656  0.1824  0.8176  7 F 2.15-2.36
Y  0.1344  0.8176  0.1824  7 F 2.15-2.36
U  0.7500  0.7500  0.7500  8 F 2.18-2.25
U  0.2500  0.2500  0.2500  8 F 2.18-2.25
F  0.6628  0.6958  0.5736  1 U 2.18, 1 Y 2.36
F  0.3372  0.3042  0.4264  1 U 2.18, 1 Y 2.36
F  0.0678  0.5736  0.6958  1 U 2.18, 1 Y 2.36
F  0.8372  0.9264  0.8042  1 U 2.18, 1 Y 2.36
F  0.9322  0.4264  0.3042  1 U 2.18, 1 Y 2.36
F  0.1628  0.0736  0.1958  1 U 2.18, 1 Y 2.36
F  0.4322  0.8042  0.9264  1 U 2.18, 1 Y 2.36
F  0.5678  0.1958  0.0736  1 U 2.18, 1 Y 2.36
F  0.5000  0.5000  0.5000  2 Y 2.18
F  0.0000  0.0000  0.0000  2 Y 2.18
F  0.8723  0.7746  0.2254  2 Y 2.15-2.17
F  0.1277  0.2254  0.7746  2 Y 2.15-2.17
F  0.6277  0.2746  0.7254  2 Y 2.15-2.17
F  0.3723  0.7254  0.2746  2 Y 2.15-2.17
F  0.4443  0.9785  0.3291  1 U 2.25, 1 Y 2.28
F  0.5557  0.0215  0.6709  1 U 2.25, 1 Y 2.28
F  0.2481  0.3291  0.9785  1 U 2.25, 1 Y 2.28
F  0.0557  0.1709  0.5215  1 U 2.25, 1 Y 2.28
F  0.7519  0.6709  0.0215  1 U 2.25, 1 Y 2.28
F  0.9443  0.8291  0.4785  1 U 2.25, 1 Y 2.28
F  0.2519  0.5215  0.1709  1 U 2.25, 1 Y 2.28
F  0.7481  0.4785  0.8291  1 U 2.25, 1 Y 2.28

Values from the calculation:
total moment	2.0	μB per cell
ρ	4.45	g/cm3
uncorrected formation energy	-3.809	eV per atom